The following is a PBEsol calculation of a geometry-optimized Li2ZnPt structure, from Alexandria.

Summary:
**E_form**: -0.4454 eV per atom
**N(E_F)**: 1.14 states/eV/f.u.
**Total DFT energy (no corrections)**: -28.52 eV/cell

```
data_Li2ZnPt
_cell_length_a 2.8796
_cell_length_b 4.2830
_cell_length_c 8.7585
_cell_angle_alpha 90.00
_cell_angle_beta 90.00
_cell_angle_gamma 90.00
_space_group_name_H-M_alt 'I m m m'
_space_group_IT_number 71
_space_group_name_Hall '-I 2 2'
loop_
_atom_site_label
_atom_site_type_symbol
_atom_site_fract_x
_atom_site_fract_y
_atom_site_fract_z
Li1 Li 0.0000 0.0000 0.2469
Zn1 Zn 0.0000 0.5000 0.0000
Pt1 Pt 0.0000 0.5000 0.5000
```